DFT (PBE) results for Y2InAg3 after structural relaxation.

Computed properties:
As for the formation energy: -0.3217 eV/atom. The space group is Fmmm, No. 69.

Cell lengths 5.8987, 5.8987, 9.0886 Å; angles 102.41, 102.41, 109.74 degrees
Closest atoms and distances in Å follow each position.
Element x y z (fractional)
Ag 0.8330 0.8330 0.6659  2 Ag 2.80, 1 In 2.81
Ag 0.3321 0.8331 0.1652  2 Ag 2.79-2.80, 1 In 2.80
Ag 0.1669 0.6679 0.8348  2 Ag 2.79-2.80, 1 In 2.80
Ag 0.8331 0.3321 0.1652  2 Ag 2.79-2.80, 1 In 2.80
Ag 0.6679 0.1669 0.8348  2 Ag 2.79-2.80, 1 In 2.80
Ag 0.1670 0.1670 0.3341  2 Ag 2.80, 1 In 2.81
Y 0.2448 0.2448 0.0000  10 Ag 3.24-3.28, 2 In 3.29, 2 Y 3.32-3.46
Y 0.7500 0.2500 0.5000  8 Ag 3.26-3.29, 4 In 3.27, 2 Y 3.39
Y 0.2500 0.7500 0.5000  8 Ag 3.26-3.29, 4 In 3.27, 2 Y 3.39
Y 0.7552 0.7552 0.0000  10 Ag 3.24-3.28, 2 In 3.29, 2 Y 3.32-3.46
In 0.6662 0.6662 0.3323  3 Ag 2.80-2.81
In 0.3338 0.3338 0.6677  3 Ag 2.80-2.81